Compound: La2PdF
Source: Alexandria
Functional: PBE
Structure: optimized geometry

Unit cell a=5.9677 b=5.9677 c=7.7481 alpha=67.35 beta=67.35 gamma=90.00
Sites, in units of the cell vectors:
La 0.3750 0.4176 0.7500
La 0.5824 0.1250 0.2500
La 0.8750 0.8324 0.7500
La 0.1676 0.6250 0.2500
Pd 0.7500 0.2500 0.5000
Pd 0.0000 0.0000 0.0000
F 0.5000 0.5000 0.0000
F 0.2500 0.7500 0.5000

Computed properties:
**SG**: I-42d (122)
**ΔE_f (raw)**: -5.885 eV per formula unit
**Energy above the lowest structure with this stoichiometry**: 0.56 eV/f.u.